This record from Alexandria describes a relaxed structure of Na2NiBOs. The functional is GGA-PBEsol.

The structure in POSCAR format:
```
Na2NiBOs
1.0
4.0156 0.0000 0.0000
0.0000 4.5353 0.0000
0.0000 0.0000 4.5353
Ni B Os Na
1 1 1 2
direct
0.5000 0.5000 0.5000
0.0000 0.0000 0.0000
0.5000 0.0000 0.0000
0.0000 0.0000 0.5000
0.0000 0.5000 0.0000
```

Values from the calculation:
Fermi-level density of states (states/eV/f.u.): 6.34
Formation energy (meV/atom): 1190
V (A^3/atom): 16.5